Material: Rb2YRuF6
Method: DFT, PBE
State: optimized geometry

a = 6.426 Å, b = 6.426 Å, c = 6.586 Å
α = 60.80°, β = 60.80°, γ = 90.00°
Positions (direct):
Rb: 0.250 0.750 0.500
Rb: 0.750 0.250 0.500
F: 0.260 0.740 0.000
F: 0.260 0.260 0.000
F: 0.728 0.728 0.544
F: 0.740 0.260 0.000
F: 0.740 0.740 0.000
F: 0.272 0.272 0.456
Y: 0.500 0.500 0.000
Ru: 0.000 0.000 0.000



Material: RbZn2RuF8
Method: DFT, PBE
State: optimized geometry

a = 4.984 Å, b = 4.984 Å, c = 9.658 Å
α = 75.05°, β = 75.05°, γ = 60.00°
Positions (direct):
F: 0.775 0.410 0.649
F: 0.590 0.225 0.351
F: 0.225 0.834 0.351
F: 0.410 0.166 0.649
F: 0.166 0.775 0.649
F: 0.306 0.306 0.083
F: 0.694 0.694 0.917
F: 0.834 0.590 0.351
Zn: 0.238 0.238 0.285
Zn: 0.762 0.762 0.715
Rb: 0.000 0.000 0.000
Ru: 0.500 0.500 0.500



Material: Rb2ZrRuF6
Method: DFT, PBE
State: optimized geometry

a = 6.982 Å, b = 6.982 Å, c = 6.496 Å
α = 57.50°, β = 57.50°, γ = 90.00°
Positions (direct):
F: 0.292 0.292 0.000
F: 0.708 0.708 0.000
F: 0.744 0.744 0.513
F: 0.708 0.292 0.000
F: 0.256 0.256 0.487
F: 0.292 0.708 0.000
Rb: 0.750 0.250 0.500
Rb: 0.250 0.750 0.500
Ru: 0.000 0.000 0.000
Zr: 0.500 0.500 0.000



Number 1: uncorrected formation energy -2581 meV/atom. Number 2: uncorrected formation energy -1948 meV/atom. Number 3: uncorrected formation energy -2359 meV/atom.